(a)
Entry from the Alexandria database: a geometry-optimized Li2SnI structure (PBE-GGA).

Cell: 3.8093 3.8093 9.3646 Å, 78.26 78.26 60.00°
Last column: nearest neighbours and their distance in Å.
Sites, in units of the cell vectors:
I  0.5000  0.5000  0.5000  6 Li 2.82
Sn  0.0000  0.0000  0.0000  2 Li 2.78
Li  0.1019  0.1019  0.6943  1 Sn 2.78, 3 I 2.82
Li  0.8981  0.8981  0.3057  1 Sn 2.78, 3 I 2.82

Values from the calculation:
The calculation puts the density at 3.77 g cm⁻³.

(b)
Entry from the Alexandria database: a geometry-optimized Li2SnI structure (PBE-GGA).

Cell: 3.7672 5.1022 5.1022 Å, 90.00 90.00 90.00°
Last column: nearest neighbours and their distance in Å.
Sites, in units of the cell vectors:
I  0.5000  0.5000  0.5000  8 Li 3.17
Sn  0.5000  0.0000  0.0000  8 Li 3.17
Li  0.0000  0.0000  0.5000  4 Sn 3.17, 4 I 3.17
Li  0.0000  0.5000  0.0000  4 Sn 3.17, 4 I 3.17

Values from the calculation:
The calculation puts the density at 4.39 g cm⁻³.

Least stable: (b)

(a)
Entry from the Alexandria database: a geometry-optimized Li2SnI structure (PBE-GGA).

Cell: 5.1839 5.1839 5.1839 Å, 60.00 60.00 60.00°
Last column: nearest neighbours and their distance in Å.
Sites, in units of the cell vectors:
I  0.5000  0.5000  0.5000  8 Li 3.17
Sn  0.0000  0.0000  0.0000  8 Li 3.17
Li  0.2500  0.2500  0.2500  4 Sn 3.17, 4 I 3.17
Li  0.7500  0.7500  0.7500  4 Sn 3.17, 4 I 3.17

Values from the calculation:
The calculation puts the density at 4.37 g cm⁻³.

(b)
Entry from the Alexandria database: a geometry-optimized Li2SnI structure (PBE-GGA).

Cell: 7.6735 7.6735 6.4736 Å, 53.65 53.65 90.00°
Last column: nearest neighbours and their distance in Å.
Sites, in units of the cell vectors:
I  0.0000  0.0000  0.0000  4 Li 2.76
I  0.7500  0.2500  0.5000  4 Li 2.76
Sn  0.5000  0.5000  0.0000  4 Li 2.95
Sn  0.2500  0.7500  0.5000  4 Li 2.95
Li  0.6443  0.1250  0.2500  2 I 2.76, 2 Sn 2.95
Li  0.1057  0.6250  0.2500  2 I 2.76, 2 Sn 2.95
Li  0.3750  0.3557  0.7500  2 I 2.76, 2 Sn 2.95
Li  0.8750  0.8943  0.7500  2 I 2.76, 2 Sn 2.95

Values from the calculation:
The calculation puts the density at 4.15 g cm⁻³.

Least stable: (a)

(a)
Entry from the Alexandria database: a geometry-optimized LiSnI4 structure (PBE-GGA).

Cell: 4.3047 8.8215 7.3763 Å, 115.82 90.00 104.12°
Last column: nearest neighbours and their distance in Å.
Sites, in units of the cell vectors:
Li  0.0000  0.0000  0.0000  6 I 2.99
Sn  0.5000  0.0000  0.5000  6 I 2.99-3.09
I  0.3901  0.7802  0.0507  1 Sn 2.99, 2 Li 2.99
I  0.1175  0.2350  0.4457  1 Li 2.99, 2 Sn 3.09
I  0.6099  0.2198  0.9493  1 Sn 2.99, 2 Li 2.99
I  0.8825  0.7650  0.5543  1 Li 2.99, 2 Sn 3.09

Values from the calculation:
The calculation puts the density at 4.33 g cm⁻³.

(b)
Entry from the Alexandria database: a geometry-optimized LiSnI4 structure (PBE-GGA).

Cell: 7.5968 7.6917 9.9211 Å, 103.63 103.24 113.39°
Last column: nearest neighbours and their distance in Å.
Sites, in units of the cell vectors:
Li  0.8169  0.0669  0.1337  4 I 2.81-2.96
Li  0.1831  0.9331  0.8663  4 I 2.81-2.96
Sn  0.3217  0.5717  0.1434  6 I 2.91-3.19
Sn  0.6783  0.4283  0.8566  6 I 2.91-3.19
I  0.3090  0.0620  0.6460  1 Li 2.81, 1 Sn 2.91
I  0.0763  0.8133  0.1110  2 Li 2.96-3.28, 2 Sn 3.13-3.19
I  0.1630  0.4160  0.3540  1 Li 2.81, 1 Sn 2.91
I  0.4653  0.7023  0.8890  2 Li 2.96-3.28, 2 Sn 3.13-3.19
I  0.6910  0.9380  0.3540  1 Li 2.81, 1 Sn 2.91
I  0.8370  0.5840  0.6460  1 Li 2.81, 1 Sn 2.91
I  0.9237  0.1867  0.8890  2 Li 2.96-3.28, 2 Sn 3.13-3.19
I  0.5347  0.2977  0.1110  2 Li 2.96-3.28, 2 Sn 3.13-3.19

Values from the calculation:
The calculation puts the density at 4.36 g cm⁻³.

Least stable: (b)

(a)
Entry from the Alexandria database: a geometry-optimized LiSnI structure (PBE-GGA).

Cell: 3.9262 3.9262 6.3734 Å, 90.00 90.00 120.00°
Last column: nearest neighbours and their distance in Å.
Sites, in units of the cell vectors:
I  0.3333  0.6667  0.6040  3 Li 2.72
Sn  0.0000  0.0000  0.0274  3 Li 3.14
Li  0.6667  0.3333  0.3686  3 I 2.72

Values from the calculation:
The calculation puts the density at 4.93 g cm⁻³.

(b)
Entry from the Alexandria database: a geometry-optimized LiSnI structure (PBE-GGA).

Cell: 4.0932 4.0932 13.2771 Å, 104.89 104.89 89.98°
Last column: nearest neighbours and their distance in Å.
Sites, in units of the cell vectors:
Sn  0.2783  0.2783  0.5338  4 Sn 3.01
Sn  0.7217  0.7217  0.4662  4 Sn 3.01
I  0.6385  0.6385  0.8657  5 Li 2.84-2.94
I  0.3615  0.3615  0.1343  5 Li 2.84-2.94
Li  0.1709  0.1709  0.9049  5 I 2.84-2.94
Li  0.8291  0.8291  0.0951  5 I 2.84-2.94

Values from the calculation:
The calculation puts the density at 4.05 g cm⁻³.

(c)
Entry from the Alexandria database: a geometry-optimized LiSnI structure (PBE-GGA).

Cell: 3.7434 3.7434 6.6645 Å, 106.31 106.31 90.00°
Last column: nearest neighbours and their distance in Å.
Sites, in units of the cell vectors:
I  0.2842  0.2842  0.5684  4 Li 2.92, 1 Sn 3.08
Sn  0.0328  0.0328  0.0655  1 I 3.08, 4 Li 3.22
Li  0.6831  0.6831  0.3661  4 I 2.92, 4 Sn 3.22

Values from the calculation:
The calculation puts the density at 4.89 g cm⁻³.

Least stable: (a)

(a)
Entry from the Alexandria database: a geometry-optimized Li2SnI2 structure (PBE-GGA).

Cell: 8.3823 8.3823 3.8639 Å, 90.00 90.00 90.00°
Last column: nearest neighbours and their distance in Å.
Sites, in units of the cell vectors:
I  0.1661  0.6661  0.5000  2 Li 2.92
I  0.6661  0.8339  0.5000  2 Li 2.92
I  0.8339  0.3339  0.5000  2 Li 2.92
I  0.3339  0.1661  0.5000  2 Li 2.92
Sn  0.0000  0.0000  0.0000  4 Li 3.19
Sn  0.5000  0.5000  0.0000  4 Li 3.19
Li  0.3506  0.8506  0.0000  2 I 2.92, 2 Sn 3.19
Li  0.8506  0.6494  0.0000  2 I 2.92, 2 Sn 3.19
Li  0.6494  0.1494  0.0000  2 I 2.92, 2 Sn 3.19
Li  0.1494  0.3506  0.0000  2 I 2.92, 2 Sn 3.19

Values from the calculation:
The calculation puts the density at 4.73 g cm⁻³.

(b)
Entry from the Alexandria database: a geometry-optimized Li2SnI2 structure (PBE-GGA).

Cell: 5.7764 5.7764 7.0426 Å, 65.79 65.79 90.00°
Last column: nearest neighbours and their distance in Å.
Sites, in units of the cell vectors:
I  0.7500  0.2500  0.5000  4 Li 2.89
I  0.2500  0.7500  0.5000  4 Li 2.89
Sn  0.0000  0.0000  0.0000  2 Li 2.98
Li  0.2596  0.2596  0.4809  4 I 2.89, 1 Sn 2.98
Li  0.7404  0.7404  0.5191  4 I 2.89, 1 Sn 2.98

Values from the calculation:
The calculation puts the density at 3.35 g cm⁻³.

Least stable: (b)

(a)
Entry from the Alexandria database: a geometry-optimized LiSnI3 structure (PBE-GGA).

Cell: 4.6069 7.4857 12.3725 Å, 90.00 100.73 90.00°
Last column: nearest neighbours and their distance in Å.
Sites, in units of the cell vectors:
Li  0.3839  0.4328  0.7678  4 I 2.78-2.81
Li  0.6161  0.9328  0.2322  4 I 2.78-2.81
Sn  0.8392  0.0149  0.6784  5 I 3.02-3.26
Sn  0.1608  0.5149  0.3216  5 I 3.02-3.26
I  0.9312  0.2861  0.8625  2 Li 2.80, 1 Sn 3.02
I  0.0688  0.7861  0.1375  2 Li 2.80, 1 Sn 3.02
I  0.5994  0.3003  0.1989  1 Li 2.78
I  0.4006  0.8003  0.8011  1 Li 2.78
I  0.7187  0.7600  0.4373  1 Li 2.81
I  0.2813  0.2600  0.5627  1 Li 2.81

Values from the calculation:
The calculation puts the density at 4.01 g cm⁻³.

(b)
Entry from the Alexandria database: a geometry-optimized LiSnI3 structure (PBE-GGA).

Cell: 6.1896 6.1896 6.1896 Å, 90.00 90.00 90.00°
Last column: nearest neighbours and their distance in Å.
Sites, in units of the cell vectors:
I  0.0000  0.5000  0.0000  2 Sn 3.09
I  0.0000  0.0000  0.5000  2 Sn 3.09
I  0.5000  0.0000  0.0000  2 Sn 3.09
Sn  0.0000  0.0000  0.0000  6 I 3.09
Li  0.5000  0.5000  0.5000  12 I 4.38

Values from the calculation:
The calculation puts the density at 3.55 g cm⁻³.

Least stable: (b)